1.
Ho7Tm3Sc | PBE-GGA | relaxed

The space group is Immm (No. 71) and the conventional cell measures 5.6422, 10.9790 and 11.1041 Å, with angles of 90.00, 90.00 and 90.00 degrees. Symmetry generates all atoms from Ho at (0.0000, 0.0000, 0.0000), Ho at (0.0000, 0.2132, 0.5000), Ho at (0.0000, 0.3068, 0.2061), Tm at (0.0000, 0.0000, 0.2949), Tm at (0.0000, 0.5000, 0.0000) and Sc at (0.0000, 0.5000, 0.5000).

For the formation energy, the calculation gives 268.7 meV/atom. For the density of states at the Fermi level, the calculation gives 1.340 states/eV/atom. For the total energy, the calculation gives -97.7 eV for the cell shown.



2.
Ho5Tm4Sc3 | PBE-GGA | relaxed

The space group is C2/m (No. 12) and the conventional cell measures 15.8609, 5.6411 and 8.9932 Å, with angles of 90.00, 117.56 and 90.00 degrees. Symmetry generates all atoms from Ho at (0.0000, 0.0000, 0.0000), Ho at (0.0754, 0.5000, 0.7105), Ho at (0.1747, 0.5000, 0.3793), Tm at (0.0808, 0.0000, 0.4388), Tm at (0.2153, 0.0000, 0.8780), Sc at (0.0000, 0.5000, 0.0000) and Sc at (0.2129, 0.0000, 0.2316).

For the formation energy, the calculation gives 222.2 meV/atom. For the density of states at the Fermi level, the calculation gives 1.666 states/eV/atom. For the total energy, the calculation gives -114.2 eV for the cell shown.



3.
Ho2Tm9Sc | PBE-GGA | relaxed

The space group is P4/mmm (No. 123) and the conventional cell measures 4.9164, 4.9164 and 14.7387 Å, with angles of 90.00, 90.00 and 90.00 degrees. Symmetry generates all atoms from Ho at (0.0000, 0.0000, 0.1678), Tm at (0.0000, 0.5000, 0.0000), Tm at (0.0000, 0.5000, 0.3371), Tm at (0.5000, 0.5000, 0.1687), Tm at (0.5000, 0.5000, 0.5000) and Sc at (0.0000, 0.0000, 0.5000).

For the formation energy, the calculation gives 33.4 meV/atom. For the density of states at the Fermi level, the calculation gives 1.515 states/eV/atom. For the total energy, the calculation gives -55.3 eV for the cell shown.



4.
Ho4Tm4Sc | PBE-GGA | relaxed

The space group is I-42m (No. 121) and the conventional cell measures 5.2148, 5.2148 and 22.9985 Å, with angles of 90.00, 90.00 and 90.00 degrees. Symmetry generates all atoms from Ho at (0.0000, 0.0000, 0.2495), Ho at (0.0000, 0.5000, 0.0000), Tm at (0.2479, 0.2479, 0.6248) and Sc at (0.0000, 0.0000, 0.5000).

For the formation energy, the calculation gives 731.1 meV/atom. For the density of states at the Fermi level, the calculation gives 1.747 states/eV/atom. For the total energy, the calculation gives -71.9 eV for the cell shown.



5.
Ho3TmSc7 | PBE-GGA | relaxed

The space group is C2/m (No. 12) and the conventional cell measures 11.9802, 10.4188 and 5.4309 Å, with angles of 90.00, 116.89 and 90.00 degrees. Symmetry generates all atoms from Ho at (0.0000, 0.0000, 0.0000), Ho at (0.0000, 0.2115, 0.5000), Tm at (0.0000, 0.5000, 0.0000), Sc at (0.0000, 0.5000, 0.5000), Sc at (0.2079, 0.0000, 0.7073) and Sc at (0.2127, 0.1942, 0.2126).

For the formation energy, the calculation gives 304.0 meV/atom. For the density of states at the Fermi level, the calculation gives 1.489 states/eV/atom. For the total energy, the calculation gives -118.4 eV for the cell shown.



6.
HoTmSc | PBE-GGA | relaxed

The space group is I4mm (No. 107) and the conventional cell measures 3.4398, 3.4398 and 14.4079 Å, with angles of 90.00, 90.00 and 90.00 degrees. Symmetry generates all atoms from Ho at (0.0000, 0.0000, 0.0000), Tm at (0.0000, 0.0000, 0.3244) and Sc at (0.0000, 0.0000, 0.6627).

For the formation energy, the calculation gives 44.9 meV/atom. For the density of states at the Fermi level, the calculation gives 1.473 states/eV/atom. For the total energy, the calculation gives -30.5 eV for the cell shown.



The highest total energy belongs to which entry? HoTmSc